# 1
VASP calculation (PBE) on an optimized crystal structure of Dy2Pd3Pt.

a = 10.0126 Å, b = 9.7739 Å, c = 7.8376 Å
α = 68.28°, β = 65.07°, γ = 46.65°
Element x y z (fractional)
Dy: 0.1814 0.2638 0.2911
Dy: 0.2363 0.7089 0.7362
Dy: 0.2638 0.1814 0.7637
Dy: 0.2911 0.7637 0.1814
Dy: 0.7089 0.2363 0.8186
Dy: 0.7362 0.8186 0.2363
Dy: 0.7637 0.2911 0.2638
Dy: 0.8186 0.7362 0.7089
Pd: 0.0000 0.0000 0.0000
Pd: 0.0000 0.0000 0.5000
Pd: 0.0000 0.5000 0.0000
Pd: 0.1083 0.1083 0.6417
Pd: 0.1588 0.5912 0.1588
Pd: 0.3583 0.3583 0.8917
Pd: 0.4088 0.8412 0.4088
Pd: 0.5000 0.0000 0.0000
Pd: 0.5912 0.1588 0.5912
Pd: 0.6417 0.6417 0.1083
Pd: 0.8412 0.4088 0.8412
Pd: 0.8917 0.8917 0.3583
Pt: 0.2374 0.5126 0.5126
Pt: 0.4874 0.7626 0.7626
Pt: 0.5126 0.2374 0.2374
Pt: 0.7626 0.4874 0.4874

Output
Energy of formation (eV per formula unit): -4.282
Energy relative to the lowest polymorph listed for this composition (meV per atom): 0.0
DOS at the Fermi energy (states/eV per cell): 8.5

=====

# 2
VASP calculation (PBE) on an optimized crystal structure of DyPd6Pt23.

a = 9.6227 Å, b = 9.6227 Å, c = 9.6227 Å
α = 131.34°, β = 131.34°, γ = 71.27°
Element x y z (fractional)
Dy: 0.0000 0.0000 0.0000
Pd: 0.2478 0.2478 0.0000
Pd: 0.2517 0.2517 0.5034
Pd: 0.2517 0.7483 0.0000
Pd: 0.7483 0.2517 0.0000
Pd: 0.7483 0.7483 0.4966
Pd: 0.7522 0.7522 0.0000
Pt: 0.0000 0.0000 0.5000
Pt: 0.0000 0.5000 0.0000
Pt: 0.0000 0.5000 0.5000
Pt: 0.1209 0.3719 0.7490
Pt: 0.1308 0.3921 0.2613
Pt: 0.1305 0.8692 0.2613
Pt: 0.1308 0.8695 0.7387
Pt: 0.3719 0.1209 0.7490
Pt: 0.3719 0.6228 0.2510
Pt: 0.3772 0.6281 0.7490
Pt: 0.3921 0.1308 0.2613
Pt: 0.5000 0.0000 0.0000
Pt: 0.5000 0.0000 0.5000
Pt: 0.5000 0.5000 0.0000
Pt: 0.5000 0.5000 0.5000
Pt: 0.6079 0.8692 0.7387
Pt: 0.6228 0.3719 0.2510
Pt: 0.6281 0.3772 0.7490
Pt: 0.6281 0.8791 0.2510
Pt: 0.8692 0.1305 0.2613
Pt: 0.8695 0.1308 0.7387
Pt: 0.8692 0.6079 0.7387
Pt: 0.8791 0.6281 0.2510

Output
Energy of formation (eV per formula unit): -3.704
DOS at the Fermi energy (states/eV per cell): 49.9

=====

# 3
VASP calculation (PBE) on an optimized crystal structure of Dy4Pd3Pt3.

a = 8.1412 Å, b = 8.1412 Å, c = 8.1412 Å
α = 109.47°, β = 109.47°, γ = 109.47°
Element x y z (fractional)
Dy: 0.0000 0.2556 0.5000
Dy: 0.0000 0.7556 0.5000
Dy: 0.2444 0.2444 0.2444
Dy: 0.2556 0.5000 0.0000
Dy: 0.5000 0.0000 0.2556
Dy: 0.5000 0.0000 0.7556
Dy: 0.7444 0.7444 0.7444
Dy: 0.7556 0.5000 0.0000
Pd: 0.1250 0.7500 0.8750
Pd: 0.2500 0.6250 0.3750
Pd: 0.3750 0.2500 0.6250
Pd: 0.6250 0.3750 0.2500
Pd: 0.7500 0.8750 0.1250
Pd: 0.8750 0.1250 0.7500
Pt: 0.1250 0.8750 0.2500
Pt: 0.2500 0.1250 0.8750
Pt: 0.3750 0.6250 0.7500
Pt: 0.6250 0.7500 0.3750
Pt: 0.7500 0.3750 0.6250
Pt: 0.8750 0.2500 0.1250

Output
Energy of formation (eV per formula unit): -8.614
DOS at the Fermi energy (states/eV per cell): 6.6

=====

# 4
VASP calculation (PBE) on an optimized crystal structure of Dy3Pd2Pt.

a = 7.8572 Å, b = 7.8572 Å, c = 6.9602 Å
α = 90.00°, β = 90.00°, γ = 143.12°
Element x y z (fractional)
Dy: 0.0000 0.0000 0.2493
Dy: 0.0000 0.0000 0.7507
Dy: 0.3320 0.6680 0.2460
Dy: 0.3320 0.6680 0.7540
Dy: 0.6680 0.3320 0.2460
Dy: 0.6680 0.3320 0.7540
Pd: 0.1692 0.8308 0.5000
Pd: 0.5000 0.5000 0.0000
Pd: 0.5000 0.5000 0.5000
Pd: 0.8308 0.1692 0.5000
Pt: 0.1608 0.8392 0.0000
Pt: 0.8392 0.1608 0.0000

Output
Energy of formation (eV per formula unit): -6.052
DOS at the Fermi energy (states/eV per cell): 7.6

=====

# 5
VASP calculation (PBE) on an optimized crystal structure of Dy4PdPt3.

a = 3.7747 Å, b = 4.4729 Å, c = 10.5551 Å
α = 90.00°, β = 90.00°, γ = 90.00°
Element x y z (fractional)
Dy: 0.0000 0.0000 0.0000
Dy: 0.0000 0.5000 0.2738
Dy: 0.5000 0.0000 0.4951
Dy: 0.5000 0.5000 0.7730
Pd: 0.0000 0.0000 0.7231
Pt: 0.0000 0.5000 0.5501
Pt: 0.5000 0.0000 0.2236
Pt: 0.5000 0.5000 0.0453

Output
Energy of formation (eV per formula unit): -9.609
DOS at the Fermi energy (states/eV per cell): 4.9

=====

# 6
VASP calculation (PBE) on an optimized crystal structure of DyPd6Pt6.

a = 6.9717 Å, b = 6.9717 Å, c = 6.9717 Å
α = 135.16°, β = 99.03°, γ = 97.70°
Element x y z (fractional)
Dy: 0.0000 0.0000 0.0000
Pd: 0.1981 0.6981 0.5000
Pd: 0.3439 0.0000 0.3439
Pd: 0.3461 0.3461 0.0000
Pd: 0.6539 0.6539 0.0000
Pd: 0.6561 0.0000 0.6561
Pd: 0.8019 0.3019 0.5000
Pt: 0.0000 0.0000 0.5000
Pt: 0.0000 0.5000 0.0000
Pt: 0.2281 0.5000 0.7281
Pt: 0.5000 0.0000 0.0000
Pt: 0.5000 0.5000 0.5000
Pt: 0.7719 0.5000 0.2719

Output
Energy of formation (eV per formula unit): -3.871
DOS at the Fermi energy (states/eV per cell): 15.2

=====

# 7
VASP calculation (PBE) on an optimized crystal structure of Dy2PdPt5.

a = 5.8216 Å, b = 11.6492 Å, c = 4.1222 Å
α = 90.00°, β = 90.00°, γ = 90.00°
Element x y z (fractional)
Dy: 0.2459 0.1244 0.0000
Dy: 0.2541 0.6244 0.0000
Dy: 0.7459 0.3756 0.0000
Dy: 0.7541 0.8756 0.0000
Pd: 0.0000 0.0000 0.5000
Pd: 0.5000 0.5000 0.5000
Pt: 0.0000 0.5000 0.5000
Pt: 0.0065 0.7501 0.5000
Pt: 0.2441 0.3740 0.0000
Pt: 0.2559 0.8740 0.0000
Pt: 0.4935 0.2501 0.5000
Pt: 0.5000 0.0000 0.5000
Pt: 0.5065 0.7499 0.5000
Pt: 0.7441 0.1260 0.0000
Pt: 0.7559 0.6260 0.0000
Pt: 0.9935 0.2499 0.5000

Output
Energy of formation (eV per formula unit): -8.129
DOS at the Fermi energy (states/eV per cell): 12.9

=====

# 8
VASP calculation (PBE) on an optimized crystal structure of DyPd2Pt6.

a = 7.0897 Å, b = 7.0897 Å, c = 4.0051 Å
α = 98.03°, β = 98.03°, γ = 126.69°
Element x y z (fractional)
Dy: 0.0000 0.0000 0.0000
Pd: 0.1597 0.8403 0.5000
Pd: 0.8403 0.1597 0.5000
Pt: 0.1819 0.5009 0.1624
Pt: 0.3375 0.3375 0.6663
Pt: 0.4991 0.8181 0.8376
Pt: 0.5009 0.1819 0.1624
Pt: 0.6625 0.6625 0.3337
Pt: 0.8181 0.4991 0.8376

Output
Energy of formation (eV per formula unit): -2.900
DOS at the Fermi energy (states/eV per cell): 9.3

=====

# 9
VASP calculation (PBE) on an optimized crystal structure of DyPd6Pt.

a = 7.9117 Å, b = 7.9117 Å, c = 7.9117 Å
α = 38.59°, β = 38.59°, γ = 38.59°
Element x y z (fractional)
Dy: 0.0000 0.0000 0.0000
Pd: 0.0626 0.0626 0.5581
Pd: 0.0626 0.5581 0.0626
Pd: 0.4419 0.9374 0.9374
Pd: 0.5581 0.0626 0.0626
Pd: 0.9374 0.4419 0.9374
Pd: 0.9374 0.9374 0.4419
Pt: 0.5000 0.5000 0.5000

Output
Energy of formation (eV per formula unit): 1.091
Energy relative to the lowest polymorph listed for this composition (meV per atom): 557.7
DOS at the Fermi energy (states/eV per cell): 8.1

=====

# 10
VASP calculation (PBE) on an optimized crystal structure of Dy4Pd12Pt.

a = 7.3799 Å, b = 7.3799 Å, c = 7.3799 Å
α = 109.47°, β = 109.47°, γ = 109.47°
Element x y z (fractional)
Dy: 0.0000 0.0000 0.5000
Dy: 0.0000 0.5000 0.0000
Dy: 0.5000 0.0000 0.0000
Dy: 0.5000 0.5000 0.5000
Pd: 0.0000 0.3013 0.3013
Pd: 0.0000 0.6987 0.6987
Pd: 0.2500 0.5000 0.7500
Pd: 0.2500 0.7500 0.5000
Pd: 0.3013 0.0000 0.3013
Pd: 0.3013 0.3013 0.0000
Pd: 0.5000 0.2500 0.7500
Pd: 0.5000 0.7500 0.2500
Pd: 0.6987 0.0000 0.6987
Pd: 0.6987 0.6987 0.0000
Pd: 0.7500 0.2500 0.5000
Pd: 0.7500 0.5000 0.2500
Pt: 0.0000 0.0000 0.0000

Output
Energy of formation (eV per formula unit): -12.991
DOS at the Fermi energy (states/eV per cell): 5.4

=====

# 11
VASP calculation (PBE) on an optimized crystal structure of Dy3PdPt4.

a = 3.8964 Å, b = 6.9129 Å, c = 13.0431 Å
α = 90.00°, β = 90.00°, γ = 90.00°
Element x y z (fractional)
Dy: 0.0000 0.0000 0.0000
Dy: 0.0000 0.5000 0.1719
Dy: 0.0000 0.5000 0.8281
Dy: 0.5000 0.0000 0.3281
Dy: 0.5000 0.0000 0.6719
Dy: 0.5000 0.5000 0.5000
Pd: 0.0000 0.0000 0.5000
Pd: 0.5000 0.5000 0.0000
Pt: 0.0000 0.3041 0.3691
Pt: 0.0000 0.3041 0.6309
Pt: 0.0000 0.6959 0.3691
Pt: 0.0000 0.6959 0.6309
Pt: 0.5000 0.1959 0.1309
Pt: 0.5000 0.1959 0.8691
Pt: 0.5000 0.8041 0.1309
Pt: 0.5000 0.8041 0.8691

Output
Energy of formation (eV per formula unit): -7.820
DOS at the Fermi energy (states/eV per cell): 4.7

=====

# 12
VASP calculation (PBE) on an optimized crystal structure of DyPd3Pt.

a = 5.1532 Å, b = 7.8745 Å, c = 4.9796 Å
α = 90.00°, β = 116.09°, γ = 90.00°
Element x y z (fractional)
Dy: 0.0000 0.2038 0.2500
Dy: 0.0000 0.7962 0.7500
Pd: 0.3218 0.1297 0.9024
Pd: 0.3218 0.8703 0.4024
Pd: 0.5000 0.4305 0.2500
Pd: 0.5000 0.5695 0.7500
Pd: 0.6782 0.1297 0.5976
Pd: 0.6782 0.8703 0.0976
Pt: 0.0000 0.4206 0.7500
Pt: 0.0000 0.5794 0.2500

Output
Energy of formation (eV per formula unit): -2.990
Energy relative to the lowest polymorph listed for this composition (meV per atom): 0.0
DOS at the Fermi energy (states/eV per cell): 9.4

=====

# 13
VASP calculation (PBE) on an optimized crystal structure of DyPd12Pt7.

a = 8.1629 Å, b = 8.1629 Å, c = 8.1629 Å
α = 109.47°, β = 109.47°, γ = 109.47°
Element x y z (fractional)
Dy: 0.0000 0.0000 0.0000
Pd: 0.1241 0.8542 0.2699
Pd: 0.1458 0.2699 0.4157
Pd: 0.1458 0.7301 0.8759
Pd: 0.2699 0.1241 0.8542
Pd: 0.2699 0.4157 0.1458
Pd: 0.4157 0.1458 0.2699
Pd: 0.5843 0.8542 0.7301
Pd: 0.7301 0.5843 0.8542
Pd: 0.7301 0.8759 0.1458
Pd: 0.8542 0.2699 0.1241
Pd: 0.8542 0.7301 0.5843
Pd: 0.8759 0.1458 0.7301
Pt: 0.0000 0.0000 0.5000
Pt: 0.0000 0.5000 0.0000
Pt: 0.0000 0.5000 0.5000
Pt: 0.5000 0.0000 0.0000
Pt: 0.5000 0.0000 0.5000
Pt: 0.5000 0.5000 0.0000
Pt: 0.5000 0.5000 0.5000

Output
Energy of formation (eV per formula unit): 9.675
DOS at the Fermi energy (states/eV per cell): 28.3

=====

# 14
VASP calculation (PBE) on an optimized crystal structure of Dy2Pd3Pt.

a = 7.0797 Å, b = 7.0797 Å, c = 7.0797 Å
α = 116.14°, β = 107.58°, γ = 104.91°
Element x y z (fractional)
Dy: 0.1905 0.2010 0.3915
Dy: 0.3095 0.7010 0.0105
Dy: 0.6905 0.2990 0.9895
Dy: 0.8095 0.7990 0.6085
Pd: 0.0711 0.7500 0.3211
Pd: 0.2500 0.2500 0.0000
Pd: 0.4289 0.7500 0.6789
Pd: 0.5711 0.2500 0.3211
Pd: 0.7500 0.7500 0.0000
Pd: 0.9289 0.2500 0.6789
Pt: 0.0000 0.5000 0.5000
Pt: 0.5000 0.0000 0.5000

Output
Energy of formation (eV per formula unit): -3.705
Energy relative to the lowest polymorph listed for this composition (meV per atom): 96.1
DOS at the Fermi energy (states/eV per cell): 6.4

=====

# 15
VASP calculation (PBE) on an optimized crystal structure of DyPd5Pt2.

a = 7.4293 Å, b = 7.4293 Å, c = 7.4293 Å
α = 123.40°, β = 123.40°, γ = 84.21°
Element x y z (fractional)
Dy: 0.2500 0.2500 0.0000
Dy: 0.7500 0.7500 0.0000
Pd: 0.0000 0.0000 0.0000
Pd: 0.0161 0.5161 0.2049
Pd: 0.1888 0.9839 0.5000
Pd: 0.3112 0.8112 0.7951
Pd: 0.4839 0.6888 0.5000
Pd: 0.5000 0.5000 0.0000
Pd: 0.5161 0.3112 0.5000
Pd: 0.6888 0.1888 0.2049
Pd: 0.8112 0.0161 0.5000
Pd: 0.9839 0.4839 0.7951
Pt: 0.1453 0.3547 0.5000
Pt: 0.3547 0.8547 0.2094
Pt: 0.6453 0.1453 0.7906
Pt: 0.8547 0.6453 0.5000

Output
Energy of formation (eV per formula unit): -2.247
Energy relative to the lowest polymorph listed for this composition (meV per atom): 21.3
DOS at the Fermi energy (states/eV per cell): 15.7

=====

# 16
VASP calculation (PBE) on an optimized crystal structure of DyPdPt.

a = 5.0202 Å, b = 5.0318 Å, c = 5.5457 Å
α = 97.22°, β = 97.29°, γ = 119.38°
Element x y z (fractional)
Dy: 0.2328 0.3961 0.2045
Dy: 0.7672 0.6039 0.7955
Pd: 0.4200 0.9250 0.7365
Pd: 0.5800 0.0750 0.2635
Pt: 0.0724 0.2523 0.6802
Pt: 0.9276 0.7477 0.3198

Output
Energy of formation (eV per formula unit): -2.769
Energy relative to the lowest polymorph listed for this composition (meV per atom): 104.5
DOS at the Fermi energy (states/eV per cell): 2.8

=====

# 17
VASP calculation (PBE) on an optimized crystal structure of DyPd5Pt2.

a = 2.9213 Å, b = 8.8353 Å, c = 10.4731 Å
α = 90.00°, β = 90.00°, γ = 90.00°
Element x y z (fractional)
Dy: 0.0000 0.0000 0.0000
Dy: 0.5000 0.5000 0.5000
Pd: 0.0000 0.2249 0.3682
Pd: 0.0000 0.2249 0.6318
Pd: 0.0000 0.5000 0.0000
Pd: 0.0000 0.7751 0.3682
Pd: 0.0000 0.7751 0.6318
Pd: 0.5000 0.0000 0.5000
Pd: 0.5000 0.2751 0.1318
Pd: 0.5000 0.2751 0.8682
Pd: 0.5000 0.7249 0.1318
Pd: 0.5000 0.7249 0.8682
Pt: 0.0000 0.5000 0.2624
Pt: 0.0000 0.5000 0.7376
Pt: 0.5000 0.0000 0.2376
Pt: 0.5000 0.0000 0.7624

Output
Energy of formation (eV per formula unit): -2.417
Energy relative to the lowest polymorph listed for this composition (meV per atom): 0.0
DOS at the Fermi energy (states/eV per cell): 23.3

=====

# 18
VASP calculation (PBE) on an optimized crystal structure of DyPd2Pt.

a = 4.1322 Å, b = 4.1322 Å, c = 4.0981 Å
α = 90.00°, β = 90.00°, γ = 90.00°
Element x y z (fractional)
Dy: 0.0000 0.0000 0.0000
Pd: 0.0000 0.5000 0.5000
Pd: 0.5000 0.0000 0.5000
Pt: 0.5000 0.5000 0.0000

Output
Energy of formation (eV per formula unit): -3.735
Energy relative to the lowest polymorph listed for this composition (meV per atom): 0.0
DOS at the Fermi energy (states/eV per cell): 4.7

=====

# 19
VASP calculation (PBE) on an optimized crystal structure of DyPd2Pt5.

a = 5.7194 Å, b = 11.5904 Å, c = 3.9985 Å
α = 90.00°, β = 90.00°, γ = 90.00°
Element x y z (fractional)
Dy: 0.0000 0.0000 0.0000
Dy: 0.5000 0.5000 0.0000
Pd: 0.2491 0.1257 0.5000
Pd: 0.2509 0.6257 0.5000
Pd: 0.7491 0.3743 0.5000
Pd: 0.7509 0.8743 0.5000
Pt: 0.0000 0.5000 0.0000
Pt: 0.0142 0.7518 0.0000
Pt: 0.2357 0.3704 0.5000
Pt: 0.2643 0.8704 0.5000
Pt: 0.4858 0.2518 0.0000
Pt: 0.5000 0.0000 0.0000
Pt: 0.5142 0.7482 0.0000
Pt: 0.7357 0.1296 0.5000
Pt: 0.7643 0.6296 0.5000
Pt: 0.9858 0.2482 0.0000

Output
Energy of formation (eV per formula unit): -3.724
DOS at the Fermi energy (states/eV per cell): 26.9